A.
Here is a relaxed structure of NaAcAs from Alexandria. Energies are from PBE-GGA.

## Properties
* D(E_F): 0.572 states/eV/atom
* magnetization: 0.00 Bohr magnetons per cell
* volume: 384 Å³/cell

Lattice parameters (Å, degrees): 7.267 7.267 7.267 90.00 90.00 90.00
Space group F-43m (No. 216)
Symmetry-distinct sites (fractional):
Na1 0.000 0.000 0.000 (multiplicity 4)
Ac1 0.000 0.000 0.500 (multiplicity 4)
As1 0.250 0.250 0.750 (multiplicity 4)


B.
Here is a relaxed structure of NaAcAs from Alexandria. Energies are from PBE-GGA.

## Properties
* D(E_F): 0.217 states/eV/atom
* magnetization: 0.91 Bohr magnetons per cell
* volume: 85 Å³/cell

Lattice parameters (Å, degrees): 4.7258 4.7258 4.4146 90.00 90.00 120.00
Space group P-6m2 (No. 187)
Symmetry-distinct sites (fractional):
Na1 0.0000 0.0000 0.0000 (multiplicity 1)
Ac1 0.3333 0.6667 0.5000 (multiplicity 1)
As1 0.6667 0.3333 0.0000 (multiplicity 1)


Computed stability ranking, most favorable first: A, B